(1)
A plane-wave DFT calculation with GGA-PBE was carried out for crystalline PmYHo4S8 at its relaxed geometry.

Cell: 8.0555 8.0555 19.7784 Å, 90.00 90.00 120.00°
Space group R3m (No. 160, hexagonal axes)
Unique sites:
Pm (0.0000, 0.0000, 0.0000) [3 per cell]
Y (0.0000, 0.0000, 0.3751) [3 per cell]
Ho (0.0000, 0.0000, 0.7493) [3 per cell]
Ho (0.1674, 0.3349, 0.2077) [9 per cell]
S (0.0000, 0.0000, 0.1356) [3 per cell]
S (0.0000, 0.0000, 0.6172) [3 per cell]
S (0.0175, 0.5087, 0.1276) [9 per cell]
S (0.1802, 0.3603, 0.9536) [9 per cell]

Calculated values
- ΔE_f (raw): -1.929 eV/atom
- D(E_F): 25.70 states/eV/cell

(2)
A plane-wave DFT calculation with GGA-PBE was carried out for crystalline Li10CaCd at its relaxed geometry.

Cell: 4.785 5.585 9.925 Å, 90.00 90.00 90.00°
Space group Pmmm (No. 47)
Unique sites:
Li (0.000, 0.000, 0.000) [1 per cell]
Li (0.000, 0.244, 0.266) [4 per cell]
Li (0.000, 0.500, 0.500) [1 per cell]
Li (0.500, 0.000, 0.196) [2 per cell]
Li (0.500, 0.500, 0.353) [2 per cell]
Ca (0.500, 0.500, 0.000) [1 per cell]
Cd (0.500, 0.000, 0.500) [1 per cell]

Calculated values
- D(E_F): 5.73 states/eV/cell
- ΔE_f: 4 kJ/mol of atoms

(3)
A plane-wave DFT calculation with GGA-PBE was carried out for crystalline KLa4Pb5 at its relaxed geometry.

Cell: 4.284 4.284 18.424 Å, 90.00 90.00 90.00°
Space group P4/mmm (No. 123)
Unique sites:
K (0.000, 0.000, 0.000) [1 per cell]
La (0.000, 0.000, 0.217) [2 per cell]
La (0.000, 0.000, 0.405) [2 per cell]
Pb (0.500, 0.500, 0.128) [2 per cell]
Pb (0.500, 0.500, 0.310) [2 per cell]
Pb (0.500, 0.500, 0.500) [1 per cell]

Calculated values
- D(E_F): 8.28 states/eV/cell
- ΔE_f: -45 kJ/mol of atoms

(4)
A plane-wave DFT calculation with GGA-PBE was carried out for crystalline TbSi2Pd4 at its relaxed geometry.

Cell: 17.001 4.165 6.566 Å, 90.00 90.00 90.00°
Space group Pnma (No. 62)
Unique sites:
Tb (0.141, 0.250, 0.025) [4 per cell]
Si (0.041, 0.750, 0.260) [4 per cell]
Si (0.216, 0.250, 0.553) [4 per cell]
Pd (0.026, 0.750, 0.857) [4 per cell]
Pd (0.072, 0.250, 0.507) [4 per cell]
Pd (0.184, 0.750, 0.335) [4 per cell]
Pd (0.202, 0.750, 0.753) [4 per cell]

Calculated values
- ΔE_f (raw): -0.795 eV/atom
- D(E_F): 11.91 states/eV/cell
- Excess energy over the best structure of this formula in the dataset: 41 meV/atom